This record from the Alexandria database describes a geometry-optimized HoScSi structure. The functional is PBE-GGA.

The formation energy (no corrections) is -0.64 eV/atom. The value obtained for the distance to the lowest polymorph of the same formula is 0.000 eV per atom. The crystal system is hexagonal. The calculation puts the spin magnetization at 0.45 μB/cell. For the raw total energy, the calculation gives -54.7 eV/cell.

a b c (Å): 7.512 7.512 4.095
angles (deg): 90.00 90.00 120.00
Element x y z (fractional)
Ho: 0.000 0.598 0.000
Ho: 0.402 0.402 0.000
Ho: 0.598 0.000 0.000
Sc: 0.000 0.258 0.500
Sc: 0.258 0.000 0.500
Sc: 0.742 0.742 0.500
Si: 0.000 0.000 0.000
Si: 0.333 0.667 0.500
Si: 0.667 0.333 0.500